A plane-wave DFT calculation with GGA-PBE was carried out for a relaxed Pm6PrSc4 crystal.

Computed properties:
* DFT formation energy: 0.302 eV per atom
* magnetic moment: 0.00 μB per atom
* total DFT energy (no corrections): -5.026 eV/atom
* density: 5.51 g cm⁻³

a = 8.8156 Å, b = 8.8156 Å, c = 5.3356 Å
α = 90.00°, β = 90.00°, γ = 120.00°
Positions (direct):
1 Pm 0.1953 0.3906 0.0000
2 Pm 0.1953 0.8047 0.0000
3 Pm 0.5318 0.0636 0.5000
4 Pm 0.5318 0.4682 0.5000
5 Pm 0.6093 0.8047 0.0000
6 Pm 0.9364 0.4682 0.5000
7 Pr 0.0000 0.0000 0.5000
8 Sc 0.3333 0.6667 0.5000
9 Sc 0.4305 0.2152 0.0000
10 Sc 0.7848 0.2152 0.0000
11 Sc 0.7848 0.5695 0.0000

---

A plane-wave DFT calculation with GGA-PBE was carried out for a relaxed Ca2YCrTe crystal.

Computed properties:
* formation energy from raw total energies: 0.847 eV per atom
* magnetic moment: 0.31 μB per atom
* total DFT energy (no corrections): -3.799 eV/atom
* density: 3.36 g cm⁻³

a = 6.0440 Å, b = 6.0440 Å, c = 4.7193 Å
α = 90.00°, β = 90.00°, γ = 90.00°
Positions (direct):
1 Ca 0.0000 0.5000 0.0000
2 Ca 0.5000 0.0000 0.0000
3 Y 0.0000 0.0000 0.0000
4 Cr 0.0000 0.0000 0.5000
5 Te 0.5000 0.5000 0.5000

---

A plane-wave DFT calculation with GGA-PBE was carried out for a relaxed Rb2Tl3F10 crystal.

Computed properties:
* formation energy from raw total energies: -2.104 eV per atom
* magnetic moment: 0.00 μB per atom
* total DFT energy (no corrections): -3.954 eV/atom
* density: 5.52 g cm⁻³

a = 11.0518 Å, b = 11.0518 Å, c = 9.1337 Å
α = 110.31°, β = 110.31°, γ = 34.35°
Positions (direct):
1 Rb 0.1132 0.1132 0.2395
2 Rb 0.2064 0.2064 0.8489
3 Rb 0.7936 0.7936 0.1511
4 Rb 0.8868 0.8868 0.7605
5 Tl 0.2787 0.7213 0.5000
6 Tl 0.3186 0.3186 0.4717
7 Tl 0.4153 0.4153 0.0006
8 Tl 0.5847 0.5847 0.9994
9 Tl 0.6814 0.6814 0.5283
10 Tl 0.7213 0.2787 0.5000
11 F 0.0000 0.5000 0.5000
12 F 0.0123 0.0123 0.6584
13 F 0.1013 0.5885 0.9704
14 F 0.1229 0.6471 0.4669
15 F 0.2713 0.2713 0.2262
16 F 0.2847 0.7153 0.0000
17 F 0.3529 0.8771 0.5331
18 F 0.3764 0.3764 0.7263
19 F 0.4115 0.8987 0.0296
20 F 0.4604 0.4604 0.2570
21 F 0.5000 0.0000 0.5000
22 F 0.5396 0.5396 0.7430
23 F 0.5885 0.1013 0.9704
24 F 0.6236 0.6236 0.2737
25 F 0.6471 0.1229 0.4669
26 F 0.7153 0.2847 0.0000
27 F 0.7287 0.7287 0.7738
28 F 0.8771 0.3529 0.5331
29 F 0.8987 0.4115 0.0296
30 F 0.9877 0.9877 0.3416

---

A plane-wave DFT calculation with GGA-PBE was carried out for a relaxed K2RbYCl6 crystal.

Computed properties:
* formation energy from raw total energies: -2.126 eV per atom
* magnetic moment: 0.00 μB per atom
* total DFT energy (no corrections): -4.196 eV/atom
* relative energy among the computed polymorphs: 0.0 kJ per mole of atoms
* density: 2.17 g cm⁻³

a = 8.1340 Å, b = 8.1340 Å, c = 8.1340 Å
α = 57.14°, β = 57.14°, γ = 57.14°
Positions (direct):
1 K 0.0000 0.0000 0.0000
2 K 0.4894 0.4894 0.4894
3 Rb 0.2067 0.2067 0.2067
4 Y 0.6959 0.6959 0.6959
5 Cl 0.0361 0.4582 0.8010
6 Cl 0.3486 0.8846 0.6073
7 Cl 0.4582 0.8010 0.0361
8 Cl 0.6073 0.3486 0.8846
9 Cl 0.8010 0.0361 0.4582
10 Cl 0.8846 0.6073 0.3486

---

A plane-wave DFT calculation with GGA-PBE was carried out for a relaxed TbHo4Tm2Sc crystal.

Computed properties:
* DFT formation energy: 0.033 eV per atom
* magnetic moment: 0.00 μB per atom
* total DFT energy (no corrections): -4.744 eV/atom
* density: 8.32 g cm⁻³

a = 4.9304 Å, b = 4.9304 Å, c = 9.8618 Å
α = 90.00°, β = 90.00°, γ = 90.00°
Positions (direct):
1 Tb 0.0000 0.0000 0.0000
2 Ho 0.0000 0.5000 0.2552
3 Ho 0.0000 0.5000 0.7448
4 Ho 0.5000 0.0000 0.2552
5 Ho 0.5000 0.0000 0.7448
6 Tm 0.0000 0.0000 0.5000
7 Tm 0.5000 0.5000 0.0000
8 Sc 0.5000 0.5000 0.5000

---

A plane-wave DFT calculation with GGA-PBE was carried out for a relaxed CsO2 crystal.

Computed properties:
* formation energy from raw total energies: -0.871 eV per atom
* magnetic moment: 0.33 μB per atom
* total DFT energy (no corrections): -4.461 eV/atom
* relative energy among the computed polymorphs: 0.0 kJ per mole of atoms
* density: 3.73 g cm⁻³

a = 4.8533 Å, b = 4.8533 Å, c = 4.8533 Å
α = 125.32°, β = 125.32°, γ = 81.01°
Positions (direct):
1 Cs 0.0000 0.0000 0.0000
2 O 0.4085 0.4085 0.0000
3 O 0.5915 0.5915 0.0000

---

A plane-wave DFT calculation with GGA-PBE was carried out for a relaxed TbPr2Zr crystal.

Computed properties:
* DFT formation energy: 0.138 eV per atom
* magnetic moment: 0.00 μB per atom
* total DFT energy (no corrections): -5.547 eV/atom
* relative energy among the computed polymorphs: 0.0 kJ per mole of atoms
* density: 7.13 g cm⁻³

a = 5.0121 Å, b = 5.0121 Å, c = 4.9326 Å
α = 90.00°, β = 90.00°, γ = 90.00°
Positions (direct):
1 Tb 0.0000 0.0000 0.0000
2 Pr 0.0000 0.5000 0.5000
3 Pr 0.5000 0.0000 0.5000
4 Zr 0.5000 0.5000 0.0000

---

A plane-wave DFT calculation with GGA-PBE was carried out for a relaxed Ac3Tl2Cd9 crystal.

Computed properties:
* DFT formation energy: -0.263 eV per atom
* magnetic moment: 0.00 μB per atom
* total DFT energy (no corrections): -2.070 eV/atom
* density: 8.95 g cm⁻³

a = 9.3642 Å, b = 9.3642 Å, c = 9.3642 Å
α = 148.55°, β = 111.98°, γ = 76.85°
Positions (direct):
1 Ac 0.0000 0.0000 0.0000
2 Ac 0.2991 0.2991 0.0000
3 Ac 0.7009 0.7009 0.0000
4 Tl 0.3112 0.5000 0.8112
5 Tl 0.6888 0.5000 0.1888
6 Cd 0.0245 0.6588 0.3657
7 Cd 0.1310 0.8536 0.2775
8 Cd 0.2932 0.6588 0.6343
9 Cd 0.4239 0.1464 0.2775
10 Cd 0.5000 0.0000 0.5000
11 Cd 0.5761 0.8536 0.7225
12 Cd 0.7068 0.3412 0.3657
13 Cd 0.8690 0.1464 0.7225
14 Cd 0.9755 0.3412 0.6343